1.
# Th2Ni7

A geometry-optimized Th2Ni7 structure (PBE-GGA, the Open Quantum Materials Database).

Output
ΔH_f (0 K) ... -3.977 eV per formula unit
Total magnetic moment ... 0.0 μB per cell

```
data_Th2Ni7
_cell_length_a 4.9689
_cell_length_b 4.9689
_cell_length_c 37.0913
_cell_angle_alpha 90.00
_cell_angle_beta 90.00
_cell_angle_gamma 120.00
_space_group_name_H-M_alt 'R -3 m'
_space_group_IT_number 166
_space_group_name_Hall '-R 3 2"'
loop_
_atom_site_label
_atom_site_fract_x
_atom_site_fract_y
_atom_site_fract_z
_atom_site_occupancy
Th1 0.0000 0.0000 0.0491 1
Th2 0.0000 0.0000 0.1449 1
Ni1 0.0000 0.0000 0.2785 1
Ni2 0.0000 0.0000 0.3880 1
Ni3 0.0000 0.0000 0.5000 1
Ni4 0.0000 0.5000 0.0000 1
Ni5 0.0010 0.5005 0.8907 1
```

***

2.
# Nd2TmCd3Ir2Pt

A geometry-optimized Nd2TmCd3Ir2Pt structure (PBE-GGA, the Open Quantum Materials Database).

Output
ΔH_f (0 K) ... -5.692 eV per formula unit
Total magnetic moment ... 0.0 μB per cell

```
data_Nd2TmCd3Ir2Pt
_cell_length_a 4.020
_cell_length_b 13.037
_cell_length_c 7.570
_cell_angle_alpha 90.00
_cell_angle_beta 90.00
_cell_angle_gamma 90.00
_space_group_name_H-M_alt 'A m m 2'
_space_group_IT_number 38
_space_group_name_Hall 'A 2 -2'
loop_
_atom_site_label
_atom_site_fract_x
_atom_site_fract_y
_atom_site_fract_z
_atom_site_occupancy
Nd1 0.000 0.205 0.000 1
Tm1 0.000 0.000 0.610 1
Cd1 0.500 0.000 0.950 1
Cd2 0.500 0.128 0.333 1
Ir1 0.500 0.160 0.702 1
Pt1 0.000 0.000 0.213 1
```

***

3.
# HgICl

A geometry-optimized HgICl structure (PBE-GGA, the Open Quantum Materials Database).

```
data_HgICl
_cell_length_a 4.323
_cell_length_b 4.323
_cell_length_c 12.064
_cell_angle_alpha 90.00
_cell_angle_beta 90.00
_cell_angle_gamma 90.00
_space_group_name_H-M_alt 'P -4 m 2'
_space_group_IT_number 115
_space_group_name_Hall 'P -4 -2'
loop_
_atom_site_label
_atom_site_fract_x
_atom_site_fract_y
_atom_site_fract_z
_atom_site_occupancy
Hg1 0.000 0.000 0.000 1
Hg2 0.500 0.500 0.500 1
I1 0.000 0.500 0.654 1
Cl1 0.000 0.500 0.116 1
```

***

Number 1: electronic total energy -6.420 eV per atom, ρ 11.0 g cm⁻³. Number 2: electronic total energy -5.127 eV per atom, ρ 11.5 g cm⁻³. Number 3: electronic total energy -1.647 eV per atom, ρ 5.3 g cm⁻³.